Record 1
The following is a DFT calculation (PBE-GGA) of a relaxed Cd3Ga crystal.

Computed properties:
The electronic total energy comes out at -1.40 eV/atom.

```
Cd3Ga
1.0
-0.238 4.287 1.108
-4.159 0.165 -1.528
0.686 -3.342 4.207
Cd Ga
3 1
Cartesian
-0.875 1.585 2.552 Cd
-2.836 -0.476 1.234 Cd
-2.198 2.226 -0.210 Cd
0.000 0.000 0.000 Ga
```

Record 2
The following is a DFT calculation (PBE-GGA) of a relaxed AcTbAgGe crystal.

Computed properties:
The electronic total energy comes out at -4.49 eV/atom.

```
AcTbAgGe
1.0
-0.738 -1.986 -4.909
4.106 -0.286 -3.413
2.070 -4.756 -1.299
Ac Tb Ge Ag
1 1 1 1
Cartesian
0.000 0.000 0.000 Ac
2.719 -3.514 -4.811 Tb
1.359 -1.757 -2.405 Ge
4.078 -5.271 -7.216 Ag
```

Record 3
The following is a DFT calculation (PBE-GGA) of a relaxed PmSm2Tm crystal.

Computed properties:
The value obtained for the polymorph energy (0 for the lowest one) is 123 meV/atom. The electronic total energy comes out at -4.52 eV/atom.

```
PmSm2Tm
1.0
-1.071 -0.341 5.619
-5.107 -1.839 1.837
-0.462 -5.124 2.523
Pm Sm Tm
1 2 1
Cartesian
0.000 0.000 0.000 Pm
-1.660 -1.826 2.495 Sm
-4.980 -5.478 7.485 Sm
-3.320 -3.652 4.990 Tm
```

Record 4
The following is a DFT calculation (PBE-GGA) of a relaxed Pm3Nd3Zn2Ga crystal.

Computed properties:
The electronic total energy comes out at -3.99 eV/atom.

```
Pm3Nd3Zn2Ga
1.0
-1.075 2.305 -2.694
-8.490 -1.597 2.020
4.328 6.652 3.966
Pm Nd Zn Ga
3 3 2 1
Cartesian
1.703 2.618 1.561 Pm
-3.341 -0.629 0.795 Pm
-2.524 3.066 3.631 Pm
2.599 5.973 1.527 Nd
-1.684 2.545 0.302 Nd
-6.690 -0.005 0.117 Nd
-0.482 5.055 1.971 Zn
-4.755 2.305 1.322 Zn
0.000 0.000 0.000 Ga
```

Record 5
The following is a DFT calculation (PBE-GGA) of a relaxed ScTlAs2 crystal.

Computed properties:
The value obtained for the polymorph energy (0 for the lowest one) is 429 meV/atom. The electronic total energy comes out at -4.59 eV/atom.

```
ScTlAs2
1.0
7.990 -0.018 -0.011
7.129 3.609 -0.011
7.129 1.693 3.187
As Tl Sc
2 1 1
Cartesian
22.069 5.241 3.140 As
5.573 1.324 0.793 As
16.604 3.943 2.362 Tl
11.376 2.702 1.618 Sc
```

Record 6
The following is a DFT calculation (PBE-GGA) of a relaxed IrRuN2 crystal.

Computed properties:
Its formation energy from raw total energies is 0.469 eV per atom. The value obtained for the polymorph energy (0 for the lowest one) is 31 meV/atom. The electronic total energy comes out at -8.23 eV/atom.

```
IrRuN2
1.0
4.599 0.000 0.000
0.000 4.599 0.000
2.299 2.299 4.591
Ir N Ru
2 4 2
Cartesian
0.000 0.000 0.000 Ir
4.599 2.299 2.296 Ir
5.749 5.721 3.444 N
3.422 1.150 1.148 N
1.177 3.449 1.148 N
3.449 3.476 3.444 N
2.299 2.299 0.000 Ru
2.299 4.599 2.296 Ru
```

Record 7
The following is a DFT calculation (PBE-GGA) of a relaxed KGe2Pd2 crystal.

Computed properties:
The value obtained for the polymorph energy (0 for the lowest one) is 173 meV/atom. The electronic total energy comes out at -4.36 eV/atom.

```
KGe2Pd2
1.0
8.076 0.000 0.000
0.000 8.076 0.000
0.000 0.000 2.911
Ge K Pd
4 2 4
Cartesian
5.208 6.906 1.456 Ge
6.906 2.868 1.456 Ge
1.170 5.208 1.456 Ge
2.868 1.170 1.456 Ge
4.038 4.038 0.000 K
0.000 0.000 0.000 K
2.940 6.978 0.000 Pd
1.098 2.940 0.000 Pd
6.978 5.136 0.000 Pd
5.136 1.098 0.000 Pd
```

Record 8
The following is a DFT calculation (PBE-GGA) of a relaxed CaAs2Cl crystal.

Computed properties:
Its formation energy from raw total energies is -1.002 eV per atom. The value obtained for the polymorph energy (0 for the lowest one) is 0 meV/atom. The electronic total energy comes out at -4.29 eV/atom.

```
CaAs2Cl
1.0
3.719 0.000 0.000
0.000 3.874 -0.157
0.000 0.583 7.483
Cl As Ca
1 2 1
Cartesian
1.860 3.730 4.711 Cl
0.000 3.650 1.217 As
1.860 1.418 1.171 As
0.000 1.760 3.734 Ca
```

| no. | calculated density (g/cm³) |
| --- | --- |
| 1 | 7.8 |
| 2 | 8.7 |
| 3 | 7.7 |
| 4 | 7.0 |
| 5 | 7.2 |
| 6 | 11.0 |
| 7 | 6.9 |
| 8 | 3.5 |